# MnCrB (PBE-GGA, relaxed)
# Offset from the most stable computed form in meV/atom: 321
# Energy relative to the elements in eV per formula unit: -0.22
# Calculated total energy in eV/atom: -8.563
data_MnCrB
_cell_length_a 2.7593
_cell_length_b 2.8181
_cell_length_c 7.4463
_cell_angle_alpha 90.00
_cell_angle_beta 90.00
_cell_angle_gamma 90.00
_symmetry_space_group_name_H-M 'A m m 2'
_symmetry_Int_Tables_number 38
_symmetry_space_group_name_Hall 'A 2 -2'
loop_
_atom_site_label
_atom_site_type_symbol
_atom_site_fract_x
_atom_site_fract_y
_atom_site_fract_z
Mn1 Mn 0.0000 0.0000 0.0000
Cr1 Cr 0.5000 0.0000 0.6898
B1 B 0.0000 0.0000 0.2962